# CdAg2Pb2

CdAg2Pb2 after structural relaxation (PBE-GGA, Alexandria via LeMat-Bulk).

a b c (Å): 7.451 7.451 4.472
angles (deg): 90.00 90.00 90.00
Fractional coordinates of all 10 atoms:
Pb  0.167  0.667  0.500
Pb  0.667  0.833  0.500
Pb  0.833  0.333  0.500
Pb  0.333  0.167  0.500
Ag  0.364  0.864  0.000
Ag  0.864  0.636  0.000
Ag  0.636  0.136  0.000
Ag  0.136  0.364  0.000
Cd  0.000  0.000  0.000
Cd  0.500  0.500  0.000

Calculated formation energy in eV/atom: 0.07
Distance to the lowest polymorph of the same formula in meV/atom: 0
Calculated total energy in eV/cell: -27.34